Entry from Alexandria: a geometry-optimized KBC structure (PBE).

Computed properties:
* energy: -67.90 eV/cell
* Fermi-level density of states: 0.0 states/eV/cell

Cell lengths 5.1264, 8.8875, 5.6709 Å; angles 90.00, 90.13, 90.00 degrees
Space group C2/c (No. 15)
Symmetry-distinct sites (fractional):
K  0.0000  0.1665  0.2500 [4 per cell]
B  0.0000  0.5000  0.0000 [4 per cell]
C  0.0000  0.4999  0.2500 [4 per cell]